Here is a relaxed Sr2ScTe crystal from the Alexandria database. Energies are from GGA-PBE.

## Properties
- DFT total energy (eV/atom) = -3.70
- spin magnetization (μB per cell) = 1.7

Cell: 4.123 4.123 8.386 Å, 90.00 90.00 90.00°
Each line ends with the local moment (μB).
Fractional positions:
Sc  0.500  0.500  0.750  0.67
Sr  0.000  0.000  0.025  0.06
Sr  0.000  0.000  0.475  0.06
Te  0.500  0.500  0.250  0.00

---

Here is a relaxed CrSiP2 crystal from the Alexandria database. Energies are from GGA-PBE.

## Properties
- DFT total energy (eV/atom) = -6.42
- spin magnetization (μB per cell) = 0.0

Cell: 3.048 3.048 6.344 Å, 90.00 90.00 90.00°
Fractional positions:
Cr  0.500  0.500  0.734
P  0.000  0.000  0.905
P  0.500  0.500  0.346
Si  0.000  0.000  0.515

---

Here is a relaxed SiHg2Rh crystal from the Alexandria database. Energies are from GGA-PBE.

## Properties
- DFT total energy (eV/atom) = -2.98
- spin magnetization (μB per cell) = 0.0

Cell: 3.167 4.539 5.131 Å, 90.00 90.00 90.00°
Fractional positions:
Hg  0.000  0.000  0.000
Hg  0.500  0.500  0.000
Rh  0.500  0.000  0.500
Si  0.000  0.500  0.500

---

Here is a relaxed Y2ZrGe3Ir4 crystal from the Alexandria database. Energies are from GGA-PBE.

## Properties
- DFT total energy (eV/atom) = -7.90
- spin magnetization (μB per cell) = 0.0

Cell: 4.134 4.134 11.056 Å, 90.00 90.00 90.00°
Fractional positions:
Y  0.500  0.000  0.230
Y  0.000  0.500  0.770
Zr  0.500  0.500  0.500
Ge  0.000  0.000  0.500
Ge  0.500  0.000  0.873
Ge  0.000  0.500  0.127
Ir  0.500  0.500  0.000
Ir  0.000  0.000  0.000
Ir  0.500  0.000  0.652
Ir  0.000  0.500  0.348

---

Here is a relaxed Na2Sn4Au5 crystal from the Alexandria database. Energies are from GGA-PBE.

## Properties
- DFT total energy (eV/atom) = -3.35
- spin magnetization (μB per cell) = 0.0

Cell: 5.776 5.968 9.659 Å, 81.68 72.60 61.06°
Fractional positions:
Na  0.822  0.000  0.356
Na  0.178  0.000  0.644
Sn  0.469  0.315  0.748
Sn  0.531  0.685  0.252
Sn  0.216  0.315  0.252
Sn  0.784  0.685  0.748
Au  0.500  0.000  0.000
Au  0.000  0.500  0.000
Au  0.500  0.500  0.000
Au  0.250  0.500  0.500
Au  0.750  0.500  0.500

---

Here is a relaxed Cs2Na2Pt crystal from the Alexandria database. Energies are from GGA-PBE.

## Properties
- DFT total energy (eV/atom) = -1.96
- spin magnetization (μB per cell) = 0.0

Cell: 8.001 8.001 6.200 Å, 90.00 90.00 90.00°
Fractional positions:
Cs  0.204  0.704  0.500
Cs  0.704  0.796  0.500
Cs  0.796  0.296  0.500
Cs  0.296  0.204  0.500
Na  0.345  0.845  0.000
Na  0.845  0.655  0.000
Na  0.655  0.155  0.000
Na  0.155  0.345  0.000
Pt  0.000  0.000  0.000
Pt  0.500  0.500  0.000

---

Here is a relaxed K2TbMnS4 crystal from the Alexandria database. Energies are from GGA-PBE.

## Properties
- DFT total energy (eV/atom) = -5.29
- spin magnetization (μB per cell) = 8.0

Cell: 8.250 8.250 8.227 Å, 119.91 119.91 92.72°
Each line ends with the local moment (μB).
Fractional positions:
K  0.500  0.000  0.000  0.00
K  0.500  0.000  0.500  0.00
K  0.000  0.000  0.500  0.00
K  0.500  0.500  0.000  0.00
Tb  0.000  0.500  0.000  0.03
Tb  0.000  0.500  0.500  0.03
Mn  0.500  0.500  0.500  3.85
Mn  0.000  0.000  0.000  3.85
S  0.218  0.733  0.976  0.04
S  0.767  0.282  0.524  0.04
S  0.233  0.718  0.476  0.04
S  0.782  0.267  0.024  0.04
S  0.761  0.739  0.937  -0.09
S  0.761  0.739  0.563  -0.09
S  0.239  0.261  0.437  -0.09
S  0.239  0.261  0.063  -0.09

---

Here is a relaxed NaTl6Cl8 crystal from the Alexandria database. Energies are from GGA-PBE.

## Properties
- DFT total energy (eV/atom) = -3.02
- spin magnetization (μB per cell) = 0.0

Cell: 6.068 9.432 9.432 Å, 120.00 90.00 90.00°
Fractional positions:
Na  0.500  0.000  0.000
Tl  0.735  0.633  0.002
Tl  0.735  0.998  0.630
Tl  0.735  0.370  0.367
Tl  0.265  0.367  0.998
Tl  0.265  0.002  0.370
Tl  0.265  0.630  0.633
Cl  0.743  0.001  0.258
Cl  0.743  0.742  0.743
Cl  0.743  0.257  0.999
Cl  0.257  0.999  0.742
Cl  0.257  0.258  0.257
Cl  0.257  0.743  0.001
Cl  0.498  0.333  0.667
Cl  0.502  0.667  0.333